VASP calculation (PBE) on a geometry-optimized MnAgC2S structure.

CIF file:
```
data_MnAgC2S
_space_group_name_H-M_alt 'P 4/m m m'
_space_group_IT_number 123
_space_group_name_Hall '-P 4 2'
_cell_length_a 3.985
_cell_length_b 3.985
_cell_length_c 5.056
_cell_angle_alpha 90.00
_cell_angle_beta 90.00
_cell_angle_gamma 90.00
loop_
_atom_site_label
_atom_site_type_symbol
_atom_site_fract_x
_atom_site_fract_y
_atom_site_fract_z
Mn1 Mn 0.000 0.000 0.000
Ag1 Ag 0.500 0.500 0.500
C1 C 0.000 0.500 0.500
S1 S 0.500 0.500 0.000
```

Values from the calculation:
ΔE_f (raw) ... 2.823 eV/atom
E ... -4.0960 eV/atom
V ... 16.1 Å³ per atom
Spin magnetization ... 0.50 μB per cell

VASP calculation (PBE) on a geometry-optimized TaMnAgC2 structure.

CIF file:
```
data_TaMnAgC2
_space_group_name_H-M_alt 'P 4/m m m'
_space_group_IT_number 123
_space_group_name_Hall '-P 4 2'
_cell_length_a 3.893
_cell_length_b 3.893
_cell_length_c 5.330
_cell_angle_alpha 90.00
_cell_angle_beta 90.00
_cell_angle_gamma 90.00
loop_
_atom_site_label
_atom_site_type_symbol
_atom_site_fract_x
_atom_site_fract_y
_atom_site_fract_z
Ta1 Ta 0.000 0.000 0.000
Mn1 Mn 0.500 0.500 0.000
Ag1 Ag 0.000 0.000 0.500
C1 C 0.000 0.500 0.500
```

Values from the calculation:
E ... -5.4101 eV/atom
Energy of formation ... 3.05 eV/atom
V ... 16.2 Å³ per atom
Spin magnetization ... 0.10 μB per cell

VASP calculation (PBE) on a geometry-optimized MnTlAg2C structure.

CIF file:
```
data_MnTlAg2C
_space_group_name_H-M_alt 'P 4/m m m'
_space_group_IT_number 123
_space_group_name_Hall '-P 4 2'
_cell_length_a 4.964
_cell_length_b 4.964
_cell_length_c 5.168
_cell_angle_alpha 90.00
_cell_angle_beta 90.00
_cell_angle_gamma 90.00
loop_
_atom_site_label
_atom_site_type_symbol
_atom_site_fract_x
_atom_site_fract_y
_atom_site_fract_z
Mn1 Mn 0.000 0.000 0.000
Tl1 Tl 0.000 0.000 0.500
Ag1 Ag 0.000 0.500 0.000
C1 C 0.500 0.500 0.500
```

Values from the calculation:
E ... -3.2268 eV/atom
Energy of formation ... 2.07 eV/atom
V ... 25.5 Å³ per atom
Spin magnetization ... 3.87 μB per cell

VASP calculation (PBE) on a geometry-optimized MnVAg2C structure.

CIF file:
```
data_MnVAg2C
_space_group_name_H-M_alt 'P 4/m m m'
_space_group_IT_number 123
_space_group_name_Hall '-P 4 2'
_cell_length_a 4.306
_cell_length_b 4.306
_cell_length_c 3.789
_cell_angle_alpha 90.00
_cell_angle_beta 90.00
_cell_angle_gamma 90.00
loop_
_atom_site_label
_atom_site_type_symbol
_atom_site_fract_x
_atom_site_fract_y
_atom_site_fract_z
Mn1 Mn 0.000 0.000 0.000
V1 V 0.500 0.500 0.000
Ag1 Ag 0.000 0.500 0.500
C1 C 0.000 0.000 0.500
```

Values from the calculation:
E ... -5.6246 eV/atom
Energy of formation ... 1.02 eV/atom
V ... 14.0 Å³ per atom
Spin magnetization ... 0.05 μB per cell

Q: spin magnetization of number 3 (MnTlAg2C)?
A: 3.87 μB per cell

Q: Which of these has the lowest E?
A: MnVAg2C

Copy entry 1 word for word.
VASP calculation (PBE) on a geometry-optimized MnAgC2S structure.

CIF file:
```
data_MnAgC2S
_space_group_name_H-M_alt 'P 4/m m m'
_space_group_IT_number 123
_space_group_name_Hall '-P 4 2'
_cell_length_a 3.985
_cell_length_b 3.985
_cell_length_c 5.056
_cell_angle_alpha 90.00
_cell_angle_beta 90.00
_cell_angle_gamma 90.00
loop_
_atom_site_label
_atom_site_type_symbol
_atom_site_fract_x
_atom_site_fract_y
_atom_site_fract_z
Mn1 Mn 0.000 0.000 0.000
Ag1 Ag 0.500 0.500 0.500
C1 C 0.000 0.500 0.500
S1 S 0.500 0.500 0.000
```

Values from the calculation:
ΔE_f (raw) ... 2.823 eV/atom
E ... -4.0960 eV/atom
V ... 16.1 Å³ per atom
Spin magnetization ... 0.50 μB per cell

Q: Which of these has the highest E?
A: MnTlAg2C